# 1
First-principles (PBE) data for crystalline Be4AlTe at its relaxed geometry, as listed in Alexandria.

Unit cell a=4.7893 b=4.7893 c=4.7893 alpha=60.00 beta=60.00 gamma=60.00
With the nearest neighbours (Å) after each atom.
Sites, in units of the cell vectors:
1 Be 0.1208 0.1208 0.1208  6 Be 2.32-2.47
2 Be 0.1208 0.1208 0.6374  6 Be 2.32-2.47
3 Be 0.1208 0.6374 0.1208  6 Be 2.32-2.47
4 Be 0.6374 0.1208 0.1208  6 Be 2.32-2.47
5 Al 0.7500 0.7500 0.7500  12 Be 2.80, 4 Te 2.93
6 Te 0.5000 0.5000 0.5000  12 Be 2.82, 4 Al 2.93

## Properties
Total magnetic moment   0.0000 μB per atom
Volume   12.9 Å³ per atom
E_form (uncorrected)   0.500 eV/atom
Space group   F-43m, No. 216

---

# 2
First-principles (PBE) data for crystalline BeAl2Te at its relaxed geometry, as listed in Alexandria.

Unit cell a=6.0107 b=6.0107 c=6.0107 alpha=38.52 beta=38.52 gamma=38.52
With the nearest neighbours (Å) after each atom.
Sites, in units of the cell vectors:
1 Be 0.0000 0.0000 0.0000  6 Al 2.44
2 Al 0.2829 0.2829 0.2829  3 Be 2.44
3 Al 0.7171 0.7171 0.7171  3 Be 2.44
4 Te 0.5000 0.5000 0.5000  6 Al 3.00

## Properties
Total magnetic moment   0.0000 μB per atom
Relative energy among the computed polymorphs   89 meV per atom
Volume   18.9 Å³ per atom
E_form (uncorrected)   0.187 eV/atom
Space group   R-3m, No. 166

---

# 3
First-principles (PBE) data for crystalline BeAl2Te at its relaxed geometry, as listed in Alexandria.

Unit cell a=5.1168 b=5.1168 c=5.1168 alpha=131.41 beta=131.41 gamma=71.16
With the nearest neighbours (Å) after each atom.
Sites, in units of the cell vectors:
1 Be 0.0000 0.0000 0.0000  4 Te 2.96, 8 Al 2.96-2.98
2 Al 0.5000 0.5000 0.0000  4 Al 2.96, 4 Te 2.96, 4 Be 2.98
3 Al 0.7500 0.2500 0.5000  4 Be 2.96, 4 Al 2.96, 4 Te 2.98
4 Te 0.2500 0.7500 0.5000  4 Be 2.96, 8 Al 2.96-2.98

## Properties
Total magnetic moment   0.0000 μB per atom
Relative energy among the computed polymorphs   417 meV per atom
Volume   18.4 Å³ per atom
E_form (uncorrected)   0.515 eV/atom
Space group   I-4m2, No. 119

---

# 4
First-principles (PBE) data for crystalline Be2AlTe at its relaxed geometry, as listed in Alexandria.

Unit cell a=4.7248 b=4.7248 c=4.7248 alpha=127.91 beta=127.91 gamma=76.76
With the nearest neighbours (Å) after each atom.
Sites, in units of the cell vectors:
1 Be 0.2500 0.7500 0.5000  4 Al 2.78, 4 Te 2.78, 4 Be 2.93
2 Be 0.7500 0.2500 0.5000  4 Al 2.78, 4 Te 2.78, 4 Be 2.93
3 Al 0.0000 0.0000 0.0000  8 Be 2.78, 4 Te 2.93
4 Te 0.5000 0.5000 0.0000  8 Be 2.78, 4 Al 2.93

## Properties
Total magnetic moment   0.0000 μB per atom
Relative energy among the computed polymorphs   475 meV per atom
Volume   15.9 Å³ per atom
E_form (uncorrected)   0.687 eV/atom
Space group   I4/mmm, No. 139

---

# 5
First-principles (PBE) data for crystalline Be2AlZnTe at its relaxed geometry, as listed in Alexandria.

Unit cell a=4.6733 b=4.6733 c=5.3269 alpha=90.00 beta=90.00 gamma=90.00
With the nearest neighbours (Å) after each atom.
Sites, in units of the cell vectors:
1 Be 0.0000 0.5000 0.0000  2 Te 2.34
2 Be 0.5000 0.0000 0.0000  2 Te 2.34
3 Al 0.0000 0.0000 0.5000  4 Zn 3.30, 8 Be 3.54
4 Zn 0.5000 0.5000 0.5000  2 Te 2.66
5 Te 0.5000 0.5000 0.0000  4 Be 2.34

## Properties
Total magnetic moment   0.0000 μB per atom
Volume   23.3 Å³ per atom
E_form (uncorrected)   1.158 eV/atom
Space group   P4/mmm, No. 123

---

# 6
First-principles (PBE) data for crystalline ThBeAl3 at its relaxed geometry, as listed in Alexandria.

Unit cell a=6.0739 b=6.0739 c=6.0739 alpha=139.91 beta=139.91 gamma=57.99
With the nearest neighbours (Å) after each atom.
Sites, in units of the cell vectors:
1 Th 0.0000 0.0000 0.0000  12 Al 3.15-3.47, 4 Be 3.19
2 Be 0.3838 0.3838 0.0000  5 Al 2.34-2.46
3 Al 0.2608 0.7608 0.5000  2 Be 2.46, 2 Al 2.66
4 Al 0.6044 0.6044 0.0000  1 Be 2.34
5 Al 0.7608 0.2608 0.5000  2 Be 2.46, 2 Al 2.66

## Properties
Total magnetic moment   0.0000 μB per atom
Volume   18.4 Å³ per atom
ΔE_f   -0.302 eV/atom
Space group   I4mm, No. 107

---

# 7
First-principles (PBE) data for crystalline ThBe2Al at its relaxed geometry, as listed in Alexandria.

Unit cell a=5.5453 b=5.5453 c=5.5453 alpha=42.13 beta=42.13 gamma=42.13
With the nearest neighbours (Å) after each atom.
Sites, in units of the cell vectors:
1 Th 0.0000 0.0000 0.0000  8 Be 3.05
2 Be 0.2013 0.2013 0.2013  3 Al 2.36, 3 Be 2.53
3 Be 0.7987 0.7987 0.7987  3 Al 2.36, 3 Be 2.53
4 Al 0.5000 0.5000 0.5000  6 Be 2.36

## Properties
Total magnetic moment   0.0000 μB per atom
Volume   17.4 Å³ per atom
ΔE_f   -0.116 eV/atom
Space group   R-3m, No. 166

---

# 8
First-principles (PBE) data for crystalline Ti6BeAl2 at its relaxed geometry, as listed in Alexandria.

Unit cell a=7.4149 b=7.4149 c=7.4149 alpha=147.38 beta=130.85 gamma=60.24
With the nearest neighbours (Å) after each atom.
Sites, in units of the cell vectors:
1 Ti 0.0743 0.3409 0.7334  1 Be 2.50, 3 Al 2.65-2.69
2 Ti 0.2297 0.0000 0.2297  2 Be 2.52, 2 Al 2.68
3 Ti 0.3925 0.6591 0.7334  1 Be 2.50, 3 Al 2.65-2.69
4 Ti 0.6075 0.3409 0.2666  1 Be 2.50, 3 Al 2.65-2.69
5 Ti 0.7703 0.0000 0.7703  2 Be 2.52, 2 Al 2.68
6 Ti 0.9257 0.6591 0.2666  1 Be 2.50, 3 Al 2.65-2.69
7 Be 0.0000 0.5000 0.5000  8 Ti 2.50-2.52
8 Al 0.3359 0.8359 0.5000  8 Ti 2.65-2.69
9 Al 0.6641 0.1641 0.5000  8 Ti 2.65-2.69

## Properties
Total magnetic moment   0.0001 μB per atom
Volume   18.3 Å³ per atom
ΔE_f   0.306 eV/atom
Space group   Immm, No. 71

---

# 9
First-principles (PBE) data for crystalline Ti3Be2Al at its relaxed geometry, as listed in Alexandria.

Unit cell a=2.7510 b=2.7510 c=11.0021 alpha=90.00 beta=90.00 gamma=90.00
With the nearest neighbours (Å) after each atom.
Sites, in units of the cell vectors:
1 Ti 0.0000 0.0000 0.0000  8 Be 2.57, 4 Ti 2.75
2 Ti 0.0000 0.0000 0.3029  4 Be 2.55, 4 Ti 2.75
3 Ti 0.0000 0.0000 0.6971  4 Be 2.55, 4 Ti 2.75
4 Be 0.5000 0.5000 0.1529  8 Ti 2.55-2.57, 4 Be 2.75
5 Be 0.5000 0.5000 0.8471  8 Ti 2.55-2.57, 4 Be 2.75
6 Al 0.5000 0.5000 0.5000  4 Al 2.75, 8 Ti 2.91

## Properties
Total magnetic moment   0.0002 μB per atom
Volume   13.9 Å³ per atom
ΔE_f   -0.190 eV/atom
Space group   P4/mmm, No. 123

---

# 10
First-principles (PBE) data for crystalline Ti2BeAl at its relaxed geometry, as listed in Alexandria.

Unit cell a=5.5327 b=5.5327 c=5.5327 alpha=101.73 beta=101.73 gamma=126.40
With the nearest neighbours (Å) after each atom.
Sites, in units of the cell vectors:
1 Ti 0.1040 0.6250 0.9790  2 Be 2.45, 2 Ti 2.51, 2 Al 2.65
2 Ti 0.3750 0.3540 0.4790  2 Be 2.45, 2 Ti 2.51, 2 Al 2.65
3 Ti 0.6460 0.1250 0.0210  2 Be 2.45, 2 Ti 2.51, 2 Al 2.65
4 Ti 0.8750 0.8960 0.5210  2 Be 2.45, 2 Ti 2.51, 2 Al 2.65
5 Be 0.0000 0.0000 0.0000  4 Ti 2.45, 2 Al 2.49
6 Be 0.7500 0.2500 0.5000  4 Ti 2.45, 2 Al 2.49
7 Al 0.2500 0.7500 0.5000  2 Be 2.49, 4 Ti 2.65
8 Al 0.5000 0.5000 0.0000  2 Be 2.49, 4 Ti 2.65

## Properties
Total magnetic moment   0.0000 μB per atom
Relative energy among the computed polymorphs   431 meV per atom
Volume   15.2 Å³ per atom
ΔE_f   0.199 eV/atom
Space group   I-42d, No. 122

---

# 11
First-principles (PBE) data for crystalline Ti3BeAl at its relaxed geometry, as listed in Alexandria.

Unit cell a=9.8809 b=9.8809 c=3.9680 alpha=90.00 beta=90.00 gamma=156.91
With the nearest neighbours (Å) after each atom.
Sites, in units of the cell vectors:
1 Ti 0.0546 0.9454 0.7500  2 Al 2.75, 2 Be 2.76, 8 Ti 2.80-2.90
2 Ti 0.2501 0.7499 0.7500  4 Be 2.72-2.73, 4 Al 2.72, 4 Ti 2.80
3 Ti 0.4453 0.5547 0.7500  2 Be 2.75, 2 Al 2.75, 8 Ti 2.80-2.90
4 Ti 0.5547 0.4453 0.2500  2 Be 2.75, 2 Al 2.75, 8 Ti 2.80-2.90
5 Ti 0.7499 0.2501 0.2500  4 Be 2.72-2.73, 4 Al 2.72, 4 Ti 2.80
6 Ti 0.9454 0.0546 0.2500  2 Al 2.75, 2 Be 2.76, 8 Ti 2.80-2.90
7 Be 0.1536 0.8464 0.2500  8 Ti 2.72-2.76, 4 Al 2.80
8 Be 0.8464 0.1536 0.7500  8 Ti 2.72-2.76, 4 Al 2.80
9 Al 0.3466 0.6534 0.2500  8 Ti 2.72-2.75, 4 Be 2.80
10 Al 0.6534 0.3466 0.7500  8 Ti 2.72-2.75, 4 Be 2.80

## Properties
Total magnetic moment   0.0000 μB per atom
Relative energy among the computed polymorphs   0 meV per atom
Volume   15.2 Å³ per atom
ΔE_f   -0.162 eV/atom
Space group   Cmcm, No. 63

---

# 12
First-principles (PBE) data for crystalline Ti2BeAl at its relaxed geometry, as listed in Alexandria.

Unit cell a=3.8870 b=3.8870 c=3.8642 alpha=90.00 beta=90.00 gamma=90.00
With the nearest neighbours (Å) after each atom.
Sites, in units of the cell vectors:
1 Ti 0.0000 0.5000 0.0000  4 Be 2.74, 4 Al 2.74, 4 Ti 2.75
2 Ti 0.5000 0.0000 0.0000  4 Be 2.74, 4 Al 2.74, 4 Ti 2.75
3 Be 0.0000 0.0000 0.5000  8 Ti 2.74, 4 Al 2.75
4 Al 0.5000 0.5000 0.5000  8 Ti 2.74, 4 Be 2.75

## Properties
Total magnetic moment   0.0977 μB per atom
Relative energy among the computed polymorphs   32 meV per atom
Volume   14.6 Å³ per atom
ΔE_f   -0.200 eV/atom
Space group   P4/mmm, No. 123

---

Q: Which value of volume does entry 4 give?
A: 15.9 Å³ per atom

---

Q: What is the total magnetic moment in the second record?
A: 0.0000 μB per atom